Computed, not measured: a relaxed structure of CdBi2As at the PBE-GGA level of DFT.

Results
Symmetry: F-43m
VASP energy (eV per atom): -3.18

Lattice parameters (Å, degrees): 5.3245 5.3245 5.3245 60.00 60.00 60.00
Element x y z (fractional)
1 As 0.7500 0.7500 0.7500
2 Bi 0.0000 0.0000 0.0000
3 Bi 0.2500 0.2500 0.2500
4 Cd 0.5000 0.5000 0.5000